Here is a relaxed structure of NaAc2WO6 from Alexandria. Energies are from PBE with a Hubbard U.

Cell lengths 6.054, 6.053, 5.800 Å; angles 58.53, 58.53, 59.99 degrees
Each line ends with the local moment (μB).
Atoms (fractional coordinates):
1 O 0.992 0.536 0.294  0.01
2 O 0.536 0.178 0.293  0.01
3 O 0.640 0.096 0.810  0.01
4 O 0.454 0.640 0.809  0.01
5 O 0.178 0.992 0.294  0.01
6 O 0.096 0.454 0.810  0.01
7 Na 0.816 0.816 0.551  0.00
8 Ac 0.071 0.071 0.788  0.01
9 Ac 0.562 0.562 0.315  0.01
10 W 0.316 0.316 0.051  0.91

Spin magnetization in μB per cell: 1.0
DFT total energy in eV per atom: -7.387